# 1
VASP calculation (GGA-PBE) on a geometry-optimized TlSiPt2 structure.

Computed properties:
Formation energy without anion corrections (eV/atom): -0.212
Space-group type: No. 123

a = 3.0598 Å, b = 3.0598 Å, c = 7.6104 Å
α = 90.00°, β = 90.00°, γ = 90.00°
Fractional positions:
Tl1 0.0000 0.0000 0.0000
Si1 0.0000 0.0000 0.5000
Pt1 0.5000 0.5000 0.3191
Pt2 0.5000 0.5000 0.6809

# 2
VASP calculation (GGA-PBE) on a geometry-optimized BaScTa2 structure.

Computed properties:
Distance to the lowest polymorph of the same formula (meV per atom): 234
Space-group type: No. 160

a = 10.5850 Å, b = 10.5850 Å, c = 10.5850 Å
α = 18.29°, β = 18.29°, γ = 18.29°
Fractional positions:
Ba1 0.0000 0.0000 0.0000
Sc1 0.7733 0.7733 0.7733
Ta1 0.2401 0.2401 0.2401
Ta2 0.5130 0.5130 0.5130

# 3
VASP calculation (GGA-PBE) on a geometry-optimized SrGaN2O structure.

Computed properties:
Formation energy without anion corrections (eV/atom): 1.150
Space-group type: No. 123

a = 5.0246 Å, b = 5.0246 Å, c = 4.6057 Å
α = 90.00°, β = 90.00°, γ = 90.00°
Fractional positions:
Sr1 0.0000 0.0000 0.0000
Ga1 0.5000 0.5000 0.5000
N1 0.0000 0.5000 0.0000
N2 0.5000 0.0000 0.0000
O1 0.0000 0.0000 0.5000

# 4
VASP calculation (GGA-PBE) on a geometry-optimized LiGe2O4 structure.

Computed properties:
Formation energy without anion corrections (eV/atom): -1.412
Distance to the lowest polymorph of the same formula (meV per atom): 0
Space-group type: No. 12

a = 5.7578 Å, b = 5.7578 Å, c = 5.1612 Å
α = 113.94°, β = 113.94°, γ = 30.75°
Fractional positions:
Li1 0.0000 0.0000 0.0000
Ge1 0.2783 0.2783 0.2786
Ge2 0.7217 0.7217 0.7214
O1 0.1401 0.1401 0.8199
O2 0.3468 0.3468 0.6917
O3 0.6532 0.6532 0.3083
O4 0.8599 0.8599 0.1801

# 5
VASP calculation (GGA-PBE) on a geometry-optimized AcTe6Pb5 structure.

Computed properties:
Formation energy without anion corrections (eV/atom): -0.584
Space-group type: No. 12

a = 8.0547 Å, b = 8.0547 Å, c = 8.3296 Å
α = 99.34°, β = 99.34°, γ = 121.22°
Fractional positions:
Ac1 0.0000 0.0000 0.0000
Te1 0.0842 0.4197 0.2519
Te2 0.2534 0.2534 0.7496
Te3 0.4197 0.0842 0.2519
Te4 0.5803 0.9158 0.7481
Te5 0.7466 0.7466 0.2504
Te6 0.9158 0.5803 0.7481
Pb1 0.1613 0.8387 0.5000
Pb2 0.3289 0.6711 0.0000
Pb3 0.5000 0.5000 0.5000
Pb4 0.6711 0.3289 0.0000
Pb5 0.8387 0.1613 0.5000

# 6
VASP calculation (GGA-PBE) on a geometry-optimized KTa2MnSe structure.

Computed properties:
Formation energy without anion corrections (eV/atom): 1.667
Space-group type: No. 123

a = 4.7819 Å, b = 4.7819 Å, c = 5.4503 Å
α = 90.00°, β = 90.00°, γ = 90.00°
Fractional positions:
K1 0.0000 0.0000 0.0000
Ta1 0.0000 0.5000 0.5000
Ta2 0.5000 0.0000 0.5000
Mn1 0.5000 0.5000 0.0000
Se1 0.0000 0.0000 0.5000

# 7
VASP calculation (GGA-PBE) on a geometry-optimized HoPu2H structure.

Computed properties:
Distance to the lowest polymorph of the same formula (meV per atom): 0
Space-group type: No. 123

a = 3.1880 Å, b = 3.1880 Å, c = 8.5096 Å
α = 90.00°, β = 90.00°, γ = 90.00°
Fractional positions:
Ho1 0.0000 0.0000 0.0000
Pu1 0.5000 0.5000 0.3241
Pu2 0.5000 0.5000 0.6759
H1 0.0000 0.0000 0.5000

# 8
VASP calculation (GGA-PBE) on a geometry-optimized TaFe2Te structure.

Computed properties:
Formation energy without anion corrections (eV/atom): 0.348
Space-group type: No. 160

a = 6.2827 Å, b = 6.2827 Å, c = 6.2827 Å
α = 34.15°, β = 34.15°, γ = 34.15°
Fractional positions:
Ta1 0.0000 0.0000 0.0000
Fe1 0.2637 0.2637 0.2637
Fe2 0.5521 0.5521 0.5521
Te1 0.7896 0.7896 0.7896

# 9
VASP calculation (GGA-PBE) on a geometry-optimized Sm12YTh5 structure.

Computed properties:
Space-group type: No. 65
Raw total energy (eV per atom): -5.532

a = 10.8344 Å, b = 10.8344 Å, c = 5.1102 Å
α = 90.00°, β = 90.00°, γ = 90.15°
Fractional positions:
Sm1 0.0067 0.3265 0.5000
Sm2 0.1592 0.8408 0.0000
Sm3 0.1718 0.4942 0.0000
Sm4 0.3265 0.0067 0.5000
Sm5 0.3353 0.6647 0.5000
Sm6 0.4942 0.1718 0.0000
Sm7 0.5058 0.8282 0.0000
Sm8 0.6647 0.3353 0.5000
Sm9 0.6735 0.9933 0.5000
Sm10 0.8282 0.5058 0.0000
Sm11 0.8408 0.1592 0.0000
Sm12 0.9933 0.6735 0.5000
Y1 0.5000 0.5000 0.0000
Th1 0.0000 0.0000 0.5000
Th2 0.1681 0.1681 0.0000
Th3 0.3338 0.3338 0.5000
Th4 0.6662 0.6662 0.5000
Th5 0.8319 0.8319 0.0000

# 10
VASP calculation (GGA-PBE) on a geometry-optimized PmTiCuRh structure.

Computed properties:
Space-group type: No. 216
Raw total energy (eV per atom): -6.245

a = 4.7209 Å, b = 4.7209 Å, c = 4.7209 Å
α = 60.00°, β = 60.00°, γ = 60.00°
Fractional positions:
Pm1 0.0000 0.0000 0.0000
Ti1 0.5000 0.5000 0.5000
Cu1 0.2500 0.2500 0.2500
Rh1 0.7500 0.7500 0.7500

# 11
VASP calculation (GGA-PBE) on a geometry-optimized LaPIO4 structure.

Computed properties:
Formation energy without anion corrections (eV/atom): -2.449
Space-group type: No. 12

a = 6.6769 Å, b = 6.6769 Å, c = 6.8481 Å
α = 98.33°, β = 98.33°, γ = 58.70°
Fractional positions:
La1 0.1989 0.1989 0.3090
La2 0.8010 0.8010 0.6910
P1 0.1360 0.1360 0.7496
P2 0.8640 0.8640 0.2504
I1 0.4694 0.4694 0.8034
I2 0.5306 0.5306 0.1966
O1 0.0028 0.0028 0.7324
O2 0.0106 0.6336 0.3643
O3 0.1949 0.1949 0.9680
O4 0.3664 0.9894 0.6357
O5 0.6336 0.0106 0.3643
O6 0.8051 0.8051 0.0320
O7 0.9894 0.3664 0.6357
O8 0.9972 0.9972 0.2676

# 12
VASP calculation (GGA-PBE) on a geometry-optimized AcTb4Pr2Nd structure.

Computed properties:
Space-group type: No. 74
Raw total energy (eV per atom): -4.217

a = 9.7203 Å, b = 9.7203 Å, c = 9.7203 Å
α = 137.92°, β = 103.25°, γ = 91.64°
Fractional positions:
Ac1 0.0000 0.0000 0.0000
Ac2 0.5000 0.0000 0.5000
Tb1 0.2438 0.7424 0.5014
Tb2 0.2513 0.2644 0.5131
Tb3 0.2513 0.7382 0.9869
Tb4 0.2590 0.2576 0.0014
Tb5 0.7410 0.7424 0.9986
Tb6 0.7487 0.2618 0.0131
Tb7 0.7487 0.7356 0.4869
Tb8 0.7562 0.2576 0.4986
Pr1 0.0000 0.0000 0.5000
Pr2 0.0000 0.5000 0.0000
Pr3 0.0000 0.5000 0.5000
Pr4 0.5000 0.5000 0.0000
Nd1 0.5000 0.0000 0.0000
Nd2 0.5000 0.5000 0.5000